Entry 1:
DFT (PBE-GGA) results for a relaxed structure of DyCd5Hg4.

## Properties
Energy relative to the elements, eV/atom: -0.120
Total magnetic moment, μB/f.u.: 0.000

```
data_DyCd5Hg4
_chemical_formula_sum 'Dy2 Cd10 Hg8'
_symmetry_space_group_name_H-M 'C 1 2/m 1'
_symmetry_Int_Tables_number 12
_cell_length_a 16.436
_cell_length_b 4.920
_cell_length_c 6.993
_cell_angle_alpha 90.00
_cell_angle_beta 114.53
_cell_angle_gamma 90.00
loop_
_symmetry_equiv_pos_as_xyz
'x,y,z'
'-x,-y,-z'
'-x,y,-z'
'x,-y,z'
'x+1/2,y+1/2,z'
'-x+1/2,-y+1/2,-z'
'-x+1/2,y+1/2,-z'
'x+1/2,-y+1/2,z'
loop_
_atom_site_label
_atom_site_type_symbol
_atom_site_fract_x
_atom_site_fract_y
_atom_site_fract_z
Dy1 Dy 0.000 0.000 0.000
Cd1 Cd 0.000 0.000 0.500
Cd2 Cd 0.158 0.500 0.156
Cd3 Cd 0.179 0.000 0.445
Hg1 Hg 0.004 0.500 0.281
Hg2 Hg 0.174 0.000 0.906
```

---

Entry 2:
DFT (PBE-GGA) results for a relaxed structure of Dy2Cd3Hg2.

## Properties
Energy relative to the elements, eV/atom: -0.249
Total magnetic moment, μB/f.u.: 0.000

```
data_Dy2Cd3Hg2
_chemical_formula_sum 'Dy4 Cd6 Hg4'
_symmetry_space_group_name_H-M 'C 1 2/m 1'
_symmetry_Int_Tables_number 12
_cell_length_a 11.044
_cell_length_b 4.189
_cell_length_c 7.545
_cell_angle_alpha 90.00
_cell_angle_beta 93.91
_cell_angle_gamma 90.00
loop_
_symmetry_equiv_pos_as_xyz
'x,y,z'
'-x,-y,-z'
'-x,y,-z'
'x,-y,z'
'x+1/2,y+1/2,z'
'-x+1/2,-y+1/2,-z'
'-x+1/2,y+1/2,-z'
'x+1/2,-y+1/2,z'
loop_
_atom_site_label
_atom_site_type_symbol
_atom_site_fract_x
_atom_site_fract_y
_atom_site_fract_z
Dy1 Dy 0.119 0.000 0.324
Cd1 Cd 0.000 0.500 0.000
Cd2 Cd 0.190 0.000 0.884
Hg1 Hg 0.104 0.500 0.632
```

---

Entry 3:
DFT (PBE-GGA) results for a relaxed structure of Dy5CdHg8.

## Properties
Energy relative to the elements, eV/atom: -0.342
Total magnetic moment, μB/f.u.: 0.000

```
data_Dy5CdHg8
_chemical_formula_sum 'Dy10 Cd2 Hg16'
_symmetry_space_group_name_H-M 'I -4'
_symmetry_Int_Tables_number 82
_cell_length_a 9.006
_cell_length_b 9.006
_cell_length_c 8.970
_cell_angle_alpha 90.00
_cell_angle_beta 90.00
_cell_angle_gamma 90.00
loop_
_symmetry_equiv_pos_as_xyz
'x,y,z'
'y,-x,-z'
'-x,-y,z'
'-y,x,-z'
'x+1/2,y+1/2,z+1/2'
'y+1/2,-x+1/2,-z+1/2'
'-x+1/2,-y+1/2,z+1/2'
'-y+1/2,x+1/2,-z+1/2'
loop_
_atom_site_label
_atom_site_type_symbol
_atom_site_fract_x
_atom_site_fract_y
_atom_site_fract_z
Dy1 Dy 0.000 0.000 0.000
Dy2 Dy 0.120 0.259 0.641
Cd1 Cd 0.000 0.500 0.250
Hg1 Hg 0.080 0.173 0.304
Hg2 Hg 0.085 0.333 0.975
```

---

Entry 4:
DFT (PBE-GGA) results for a relaxed structure of DyCdHg6.

## Properties
Energy relative to the elements, eV/atom: 0.077
Total magnetic moment, μB/f.u.: 0.000

```
data_DyCdHg6
_chemical_formula_sum 'Dy3 Cd3 Hg18'
_symmetry_space_group_name_H-M 'R -3 m'
_symmetry_Int_Tables_number 166
_symmetry_space_group_name_Hall '-R 3 2"'
_cell_length_a 6.3843
_cell_length_b 6.3843
_cell_length_c 22.9594
_cell_angle_alpha 90.00
_cell_angle_beta 90.00
_cell_angle_gamma 120.00
loop_
_atom_site_label
_atom_site_type_symbol
_atom_site_fract_x
_atom_site_fract_y
_atom_site_fract_z
Dy1 Dy 0.0000 0.0000 0.0000
Cd1 Cd 0.0000 0.0000 0.5000
Hg1 Hg 0.0133 0.5067 0.4348
```

---

Entry 5:
DFT (PBE-GGA) results for a relaxed structure of DyCd6Hg8.

## Properties
Energy relative to the elements, eV/atom: -0.030
Total magnetic moment, μB/f.u.: 0.000

```
data_DyCd6Hg8
_chemical_formula_sum 'Dy3 Cd18 Hg24'
_symmetry_space_group_name_H-M 'R -3'
_symmetry_Int_Tables_number 148
_symmetry_space_group_name_Hall '-R 3'
_cell_length_a 9.6225
_cell_length_b 9.6225
_cell_length_c 14.4296
_cell_angle_alpha 90.00
_cell_angle_beta 90.00
_cell_angle_gamma 120.00
loop_
_atom_site_label
_atom_site_type_symbol
_atom_site_fract_x
_atom_site_fract_y
_atom_site_fract_z
Dy1 Dy 0.0000 0.0000 0.0000
Cd1 Cd 0.0206 0.8213 0.4040
Hg1 Hg 0.0000 0.0000 0.2213
Hg2 Hg 0.0211 0.7301 0.9018
```

---

Entry 6:
DFT (PBE-GGA) results for a relaxed structure of Dy2Cd16Hg.

## Properties
Energy relative to the elements, eV/atom: -0.099
Total magnetic moment, μB/f.u.: 0.000

```
data_Dy2Cd16Hg
_chemical_formula_sum 'Dy6 Cd48 Hg3'
_symmetry_space_group_name_H-M 'R 3 m'
_symmetry_Int_Tables_number 160
_symmetry_space_group_name_Hall 'R 3 -2"'
_cell_length_a 10.0741
_cell_length_b 10.0741
_cell_length_c 14.9677
_cell_angle_alpha 90.00
_cell_angle_beta 90.00
_cell_angle_gamma 120.00
loop_
_atom_site_label
_atom_site_type_symbol
_atom_site_fract_x
_atom_site_fract_y
_atom_site_fract_z
Dy1 Dy 0.0000 0.0000 0.0000
Dy2 Dy 0.0000 0.0000 0.3458
Cd1 Cd 0.0000 0.0000 0.5927
Cd2 Cd 0.0023 0.3075 0.6762
Cd3 Cd 0.0212 0.5106 0.5307
Cd4 Cd 0.0420 0.5210 0.1688
Cd5 Cd 0.0650 0.5325 0.8299
Hg1 Hg 0.0000 0.0000 0.7872
```

---

Entry 7:
DFT (PBE-GGA) results for a relaxed structure of DyCd7Hg12.

## Properties
Energy relative to the elements, eV/atom: -0.033
Total magnetic moment, μB/f.u.: 0.000

```
data_DyCd7Hg12
_chemical_formula_sum 'Dy3 Cd21 Hg36'
_symmetry_space_group_name_H-M 'R -3'
_symmetry_Int_Tables_number 148
_symmetry_space_group_name_Hall '-R 3'
_cell_length_a 13.1400
_cell_length_b 13.1400
_cell_length_c 10.4734
_cell_angle_alpha 90.00
_cell_angle_beta 90.00
_cell_angle_gamma 120.00
loop_
_atom_site_label
_atom_site_type_symbol
_atom_site_fract_x
_atom_site_fract_y
_atom_site_fract_z
Dy1 Dy 0.0000 0.0000 0.0000
Cd1 Cd 0.0000 0.0000 0.5000
Cd2 Cd 0.0113 0.8637 0.7488
Hg1 Hg 0.0488 0.7950 0.4275
Hg2 Hg 0.0551 0.2591 0.9634
```

---

Entry 8:
DFT (PBE-GGA) results for a relaxed structure of Dy3CdHg7.

## Properties
Energy relative to the elements, eV/atom: -0.171
Total magnetic moment, μB/f.u.: 0.000

```
data_Dy3CdHg7
_chemical_formula_sum 'Dy12 Cd4 Hg28'
_symmetry_space_group_name_H-M 'C m c m'
_symmetry_Int_Tables_number 63
_symmetry_space_group_name_Hall '-C 2c 2'
_cell_length_a 3.588
_cell_length_b 33.252
_cell_length_c 11.110
_cell_angle_alpha 90.00
_cell_angle_beta 90.00
_cell_angle_gamma 90.00
loop_
_atom_site_label
_atom_site_type_symbol
_atom_site_fract_x
_atom_site_fract_y
_atom_site_fract_z
Dy1 Dy 0.000 0.063 0.067
Dy2 Dy 0.000 0.177 0.750
Cd1 Cd 0.000 0.080 0.750
Hg1 Hg 0.000 0.273 0.080
Hg2 Hg 0.000 0.370 0.054
Hg3 Hg 0.000 0.391 0.750
Hg4 Hg 0.000 0.485 0.124
```

---

Entry 9:
DFT (PBE-GGA) results for a relaxed structure of DyCd3Hg.

## Properties
Energy relative to the elements, eV/atom: -0.174
Total magnetic moment, μB/f.u.: 0.000

```
data_DyCd3Hg
_chemical_formula_sum 'Dy4 Cd12 Hg4'
_symmetry_space_group_name_H-M 'P n m a'
_symmetry_Int_Tables_number 62
_cell_length_a 9.548
_cell_length_b 4.185
_cell_length_c 12.248
_cell_angle_alpha 90.00
_cell_angle_beta 90.00
_cell_angle_gamma 90.00
loop_
_symmetry_equiv_pos_as_xyz
'x,y,z'
'-x,-y,-z'
'-x+1/2,-y,z+1/2'
'x+1/2,y,-z+1/2'
'x+1/2,-y+1/2,-z+1/2'
'-x+1/2,y+1/2,z+1/2'
'-x,y+1/2,-z'
'x,-y+1/2,z'
loop_
_atom_site_label
_atom_site_type_symbol
_atom_site_fract_x
_atom_site_fract_y
_atom_site_fract_z
Dy1 Dy 0.167 0.250 0.003
Cd1 Cd 0.090 0.250 0.387
Cd2 Cd 0.091 0.750 0.199
Cd3 Cd 0.129 0.750 0.802
Hg1 Hg 0.128 0.250 0.618
```

---

Entry 10:
DFT (PBE-GGA) results for a relaxed structure of DyCdHg2.

## Properties
Energy relative to the elements, eV/atom: -0.307
Total magnetic moment, μB/f.u.: 0.000

```
data_DyCdHg2
_chemical_formula_sum 'Dy1 Cd1 Hg2'
_symmetry_space_group_name_H-M 'P 4/m m m'
_symmetry_Int_Tables_number 123
_symmetry_space_group_name_Hall '-P 4 2'
_cell_length_a 4.739
_cell_length_b 4.739
_cell_length_c 4.310
_cell_angle_alpha 90.00
_cell_angle_beta 90.00
_cell_angle_gamma 90.00
loop_
_atom_site_label
_atom_site_type_symbol
_atom_site_fract_x
_atom_site_fract_y
_atom_site_fract_z
Dy1 Dy 0.000 0.000 0.000
Cd1 Cd 0.500 0.500 0.000
Hg1 Hg 0.000 0.500 0.500
```

---

Entry 11:
DFT (PBE-GGA) results for a relaxed structure of DyCd2Hg5.

## Properties
Energy relative to the elements, eV/atom: -0.122
Total magnetic moment, μB/f.u.: 0.000

```
data_DyCd2Hg5
_chemical_formula_sum 'Dy2 Cd4 Hg10'
_symmetry_space_group_name_H-M 'I 4 m m'
_symmetry_Int_Tables_number 107
_symmetry_space_group_name_Hall 'I 4 -2'
_cell_length_a 7.416
_cell_length_b 7.416
_cell_length_c 7.127
_cell_angle_alpha 90.00
_cell_angle_beta 90.00
_cell_angle_gamma 90.00
loop_
_atom_site_label
_atom_site_type_symbol
_atom_site_fract_x
_atom_site_fract_y
_atom_site_fract_z
Dy1 Dy 0.000 0.000 0.000
Cd1 Cd 0.000 0.500 0.001
Hg1 Hg 0.000 0.000 0.501
Hg2 Hg 0.250 0.250 0.250
```

---

Entry 12:
DFT (PBE-GGA) results for a relaxed structure of Dy6Cd2Hg.

## Properties
Energy relative to the elements, eV/atom: 0.025
Total magnetic moment, μB/f.u.: 0.000

```
data_Dy6Cd2Hg
_chemical_formula_sum 'Dy12 Cd4 Hg2'
_symmetry_space_group_name_H-M 'I m m m'
_symmetry_Int_Tables_number 71
_symmetry_space_group_name_Hall '-I 2 2'
_cell_length_a 5.115
_cell_length_b 7.247
_cell_length_c 15.382
_cell_angle_alpha 90.00
_cell_angle_beta 90.00
_cell_angle_gamma 90.00
loop_
_atom_site_label
_atom_site_type_symbol
_atom_site_fract_x
_atom_site_fract_y
_atom_site_fract_z
Dy1 Dy 0.000 0.247 0.000
Dy2 Dy 0.000 0.252 0.334
Cd1 Cd 0.000 0.500 0.166
Hg1 Hg 0.000 0.500 0.500
```

---

Entry 13:
DFT (PBE-GGA) results for a relaxed structure of Dy5CdHg3.

## Properties
Energy relative to the elements, eV/atom: -0.353
Total magnetic moment, μB/f.u.: 0.000

```
data_Dy5CdHg3
_chemical_formula_sum 'Dy10 Cd2 Hg6'
_symmetry_space_group_name_H-M 'P 63/m c m'
_symmetry_Int_Tables_number 193
_symmetry_space_group_name_Hall '-P 6c 2'
_cell_length_a 9.1418
_cell_length_b 9.1418
_cell_length_c 6.6485
_cell_angle_alpha 90.00
_cell_angle_beta 90.00
_cell_angle_gamma 120.00
loop_
_atom_site_label
_atom_site_type_symbol
_atom_site_fract_x
_atom_site_fract_y
_atom_site_fract_z
Dy1 Dy 0.0000 0.2981 0.2500
Dy2 Dy 0.3333 0.6667 0.0000
Cd1 Cd 0.0000 0.0000 0.0000
Hg1 Hg 0.0000 0.3698 0.7500
```

---

Entry 14:
DFT (PBE-GGA) results for a relaxed structure of Dy2Cd3Hg.

## Properties
Energy relative to the elements, eV/atom: -0.342
Total magnetic moment, μB/f.u.: 0.000

```
data_Dy2Cd3Hg
_chemical_formula_sum 'Dy2 Cd3 Hg1'
_symmetry_space_group_name_H-M 'P m m 2'
_symmetry_Int_Tables_number 25
_cell_length_a 3.439
_cell_length_b 4.974
_cell_length_c 8.564
_cell_angle_alpha 90.00
_cell_angle_beta 90.00
_cell_angle_gamma 90.00
loop_
_symmetry_equiv_pos_as_xyz
'x,y,z'
'-x,-y,z'
'-x,y,z'
'x,-y,z'
loop_
_atom_site_label
_atom_site_type_symbol
_atom_site_fract_x
_atom_site_fract_y
_atom_site_fract_z
Dy1 Dy 0.000 0.000 0.000
Dy2 Dy 0.000 0.500 0.489
Cd1 Cd 0.500 0.000 0.665
Cd2 Cd 0.500 0.500 0.158
Cd3 Cd 0.500 0.500 0.825
Hg1 Hg 0.500 0.000 0.329
```

---

Entry 15:
DFT (PBE-GGA) results for a relaxed structure of Dy8CdHg2.

## Properties
Energy relative to the elements, eV/atom: -0.197
Total magnetic moment, μB/f.u.: 0.000

```
data_Dy8CdHg2
_chemical_formula_sum 'Dy16 Cd2 Hg4'
_symmetry_space_group_name_H-M 'C 1 2/m 1'
_symmetry_Int_Tables_number 12
_cell_length_a 18.043
_cell_length_b 5.190
_cell_length_c 7.106
_cell_angle_alpha 90.00
_cell_angle_beta 106.43
_cell_angle_gamma 90.00
loop_
_symmetry_equiv_pos_as_xyz
'x,y,z'
'-x,-y,-z'
'-x,y,-z'
'x,-y,z'
'x+1/2,y+1/2,z'
'-x+1/2,-y+1/2,-z'
'-x+1/2,y+1/2,-z'
'x+1/2,-y+1/2,z'
loop_
_atom_site_label
_atom_site_type_symbol
_atom_site_fract_x
_atom_site_fract_y
_atom_site_fract_z
Dy1 Dy 0.026 0.000 0.263
Dy2 Dy 0.091 0.500 0.962
Dy3 Dy 0.167 0.500 0.466
Dy4 Dy 0.194 0.000 0.805
Cd1 Cd 0.000 0.500 0.500
Hg1 Hg 0.187 0.000 0.215
```

---

Entry 16:
DFT (PBE-GGA) results for a relaxed structure of DyCd5Hg6.

## Properties
Energy relative to the elements, eV/atom: -0.101
Total magnetic moment, μB/f.u.: 0.000

```
data_DyCd5Hg6
_chemical_formula_sum 'Dy2 Cd10 Hg12'
_symmetry_space_group_name_H-M 'C 1 2/m 1'
_symmetry_Int_Tables_number 12
_cell_length_a 8.968
_cell_length_b 15.724
_cell_length_c 4.792
_cell_angle_alpha 90.00
_cell_angle_beta 121.76
_cell_angle_gamma 90.00
loop_
_symmetry_equiv_pos_as_xyz
'x,y,z'
'-x,-y,-z'
'-x,y,-z'
'x,-y,z'
'x+1/2,y+1/2,z'
'-x+1/2,-y+1/2,-z'
'-x+1/2,y+1/2,-z'
'x+1/2,-y+1/2,z'
loop_
_atom_site_label
_atom_site_type_symbol
_atom_site_fract_x
_atom_site_fract_y
_atom_site_fract_z
Dy1 Dy 0.000 0.000 0.000
Cd1 Cd 0.000 0.166 0.500
Cd2 Cd 0.000 0.318 0.000
Cd3 Cd 0.000 0.500 0.500
Hg1 Hg 0.237 0.500 0.237
Hg2 Hg 0.244 0.339 0.745
```

---

Entry 17:
DFT (PBE-GGA) results for a relaxed structure of Dy4Cd3Hg2.

## Properties
Energy relative to the elements, eV/atom: -0.341
Total magnetic moment, μB/f.u.: 0.000

```
data_Dy4Cd3Hg2
_chemical_formula_sum 'Dy4 Cd3 Hg2'
_symmetry_space_group_name_H-M 'P -3 m 1'
_symmetry_Int_Tables_number 164
_symmetry_space_group_name_Hall '-P 3 2"'
_cell_length_a 5.1814
_cell_length_b 5.1814
_cell_length_c 9.8864
_cell_angle_alpha 90.00
_cell_angle_beta 90.00
_cell_angle_gamma 120.00
loop_
_atom_site_label
_atom_site_type_symbol
_atom_site_fract_x
_atom_site_fract_y
_atom_site_fract_z
Dy1 Dy 0.0000 0.0000 0.1709
Dy2 Dy 0.3333 0.6667 0.6187
Cd1 Cd 0.0000 0.0000 0.5000
Cd2 Cd 0.3333 0.6667 0.9759
Hg1 Hg 0.3333 0.6667 0.3043
```

---

Entry 18:
DFT (PBE-GGA) results for a relaxed structure of DyCd2Hg5.

## Properties
Energy relative to the elements, eV/atom: -0.104
Total magnetic moment, μB/f.u.: 0.000

```
data_DyCd2Hg5
_chemical_formula_sum 'Dy4 Cd8 Hg20'
_symmetry_space_group_name_H-M 'I 4/m c m'
_symmetry_Int_Tables_number 140
_symmetry_space_group_name_Hall '-I 4 2c'
_cell_length_a 7.878
_cell_length_b 7.878
_cell_length_c 12.813
_cell_angle_alpha 90.00
_cell_angle_beta 90.00
_cell_angle_gamma 90.00
loop_
_atom_site_label
_atom_site_type_symbol
_atom_site_fract_x
_atom_site_fract_y
_atom_site_fract_z
Dy1 Dy 0.000 0.000 0.250
Cd1 Cd 0.144 0.356 0.000
Hg1 Hg 0.000 0.000 0.000
Hg2 Hg 0.152 0.348 0.340
```

---

Entry 19:
DFT (PBE-GGA) results for a relaxed structure of Dy4CdHg3.

## Properties
Energy relative to the elements, eV/atom: -0.437
Total magnetic moment, μB/f.u.: 0.026

```
data_Dy4CdHg3
_chemical_formula_sum 'Dy8 Cd2 Hg6'
_symmetry_space_group_name_H-M 'C 1 2/m 1'
_symmetry_Int_Tables_number 12
_cell_length_a 15.906
_cell_length_b 5.248
_cell_length_c 5.248
_cell_angle_alpha 90.00
_cell_angle_beta 109.19
_cell_angle_gamma 90.00
loop_
_symmetry_equiv_pos_as_xyz
'x,y,z'
'-x,-y,-z'
'-x,y,-z'
'x,-y,z'
'x+1/2,y+1/2,z'
'-x+1/2,-y+1/2,-z'
'-x+1/2,y+1/2,-z'
'x+1/2,-y+1/2,z'
loop_
_atom_site_label
_atom_site_type_symbol
_atom_site_fract_x
_atom_site_fract_y
_atom_site_fract_z
Dy1 Dy 0.126 0.000 0.126
Dy2 Dy 0.126 0.500 0.626
Cd1 Cd 0.000 0.000 0.500
Hg1 Hg 0.000 0.500 0.000
Hg2 Hg 0.249 0.000 0.749
```

---

Entry 20:
DFT (PBE-GGA) results for a relaxed structure of Dy8CdHg2.

## Properties
Energy relative to the elements, eV/atom: -0.130
Total magnetic moment, μB/f.u.: 0.002

```
data_Dy8CdHg2
_chemical_formula_sum 'Dy16 Cd2 Hg4'
_symmetry_space_group_name_H-M 'I m m m'
_symmetry_Int_Tables_number 71
_symmetry_space_group_name_Hall '-I 2 2'
_cell_length_a 5.073
_cell_length_b 8.435
_cell_length_c 14.711
_cell_angle_alpha 90.00
_cell_angle_beta 90.00
_cell_angle_gamma 90.00
loop_
_atom_site_label
_atom_site_type_symbol
_atom_site_fract_x
_atom_site_fract_y
_atom_site_fract_z
Dy1 Dy 0.000 0.000 0.135
Dy2 Dy 0.000 0.219 0.338
Dy3 Dy 0.000 0.315 0.000
Cd1 Cd 0.000 0.500 0.500
Hg1 Hg 0.000 0.500 0.199
```